DFT (PBE-GGA) results for a geometry-optimized PmTl4Se4 structure.

a b c (Å): 4.3411 7.6681 9.7857
angles (deg): 70.24 77.18 73.56
With the nearest neighbours (Å) after each atom.
Atoms (fractional coordinates):
Pm  0.5000  0.0000  0.0000  6 Se 2.95-2.97
Tl  0.7136  0.3666  0.2062  5 Se 3.05-3.30
Tl  0.9118  0.7628  0.4136  3 Se 2.96-3.22
Tl  0.2864  0.6334  0.7938  5 Se 3.05-3.30
Tl  0.0882  0.2372  0.5864  3 Se 2.96-3.22
Se  0.3291  0.0416  0.3002  4 Tl 2.96-3.16, 1 Pm 2.97
Se  0.6709  0.9584  0.6998  4 Tl 2.96-3.16, 1 Pm 2.97
Se  0.9027  0.2832  0.9114  2 Pm 2.95, 4 Tl 3.05-3.30
Se  0.0973  0.7168  0.0886  2 Pm 2.95, 4 Tl 3.05-3.30

- formation energy without anion corrections (kcal/mol of atoms) = -17.60
- M_tot (μB/atom) = 0.00
- N(E_F) (states/eV/f.u.) = 5.806

***

DFT (PBE-GGA) results for a geometry-optimized Pm3TlSe2 structure.

a b c (Å): 4.1832 6.1019 7.5869
angles (deg): 113.71 105.99 90.00
With the nearest neighbours (Å) after each atom.
Atoms (fractional coordinates):
Pm  0.5000  0.5000  0.0000  4 Se 3.01-3.02, 2 Tl 3.05
Pm  0.1781  0.1781  0.3563  4 Se 2.96-3.06, 2 Tl 3.15
Pm  0.8219  0.8219  0.6437  4 Se 2.96-3.06, 2 Tl 3.15
Tl  0.5000  0.0000  0.0000  6 Pm 3.05-3.15
Se  0.1643  0.6640  0.3280  6 Pm 2.96-3.06
Se  0.8357  0.3360  0.6720  6 Pm 2.96-3.06

- formation energy without anion corrections (kcal/mol of atoms) = -31.21
- M_tot (μB/atom) = 0.00
- N(E_F) (states/eV/f.u.) = 1.419

***

DFT (PBE-GGA) results for a geometry-optimized Pm4TlSe5 structure.

a b c (Å): 4.2225 4.2225 18.2743
angles (deg): 83.37 83.37 60.00
With the nearest neighbours (Å) after each atom.
Atoms (fractional coordinates):
Pm  0.9057  0.9057  0.2830  6 Se 2.95-2.98
Pm  0.3020  0.3020  0.0941  6 Se 2.97-2.98
Pm  0.6980  0.6980  0.9059  6 Se 2.97-2.98
Pm  0.0943  0.0943  0.7170  6 Se 2.95-2.98
Tl  0.5000  0.5000  0.5000  6 Se 3.33
Se  0.3961  0.3961  0.8116  6 Pm 2.98
Se  0.0000  0.0000  0.0000  6 Pm 2.97
Se  0.6039  0.6039  0.1884  6 Pm 2.98
Se  0.7915  0.7915  0.6256  3 Pm 2.95
Se  0.2085  0.2085  0.3744  3 Pm 2.95

- formation energy without anion corrections (kcal/mol of atoms) = -38.06
- M_tot (μB/atom) = 0.00
- N(E_F) (states/eV/f.u.) = 4.873

***

DFT (PBE-GGA) results for a geometry-optimized Pm2TlSe4 structure.

a b c (Å): 4.2383 7.5030 12.7194
angles (deg): 90.00 90.00 90.00
With the nearest neighbours (Å) after each atom.
Atoms (fractional coordinates):
Pm  0.5000  0.9292  0.8247  6 Se 2.88-3.02
Pm  0.5000  0.0708  0.1753  6 Se 2.88-3.02
Pm  0.5000  0.4292  0.6753  6 Se 2.88-3.02
Pm  0.5000  0.5708  0.3247  6 Se 2.88-3.02
Tl  0.0000  0.0000  0.5000  6 Se 2.97-3.03
Tl  0.0000  0.5000  0.0000  6 Se 2.97-3.03
Se  0.0000  0.6533  0.7792  4 Pm 3.01-3.02, 1 Tl 3.03
Se  0.0000  0.3467  0.2208  4 Pm 3.01-3.02, 1 Tl 3.03
Se  0.0000  0.1533  0.7208  4 Pm 3.01-3.02, 1 Tl 3.03
Se  0.0000  0.8467  0.2792  4 Pm 3.01-3.02, 1 Tl 3.03
Se  0.5000  0.7285  0.5333  2 Pm 2.88-2.91, 2 Tl 2.97
Se  0.5000  0.2715  0.4667  2 Pm 2.88-2.91, 2 Tl 2.97
Se  0.5000  0.7715  0.0333  2 Pm 2.88-2.91, 2 Tl 2.97
Se  0.5000  0.2285  0.9667  2 Pm 2.88-2.91, 2 Tl 2.97

- formation energy without anion corrections (kcal/mol of atoms) = -30.39
- M_tot (μB/atom) = 0.00
- N(E_F) (states/eV/f.u.) = 2.089

***

DFT (PBE-GGA) results for a geometry-optimized Pm7TlSe5 structure.

a b c (Å): 4.1810 7.2461 25.0879
angles (deg): 89.99 90.00 106.77
With the nearest neighbours (Å) after each atom.
Atoms (fractional coordinates):
Pm  0.4794  0.9587  0.2500  2 Se 2.90, 2 Tl 3.19
Pm  0.5212  0.0424  0.7500  2 Se 2.90, 2 Tl 3.19
Pm  0.6376  0.2753  0.0361  6 Se 2.91-2.97
Pm  0.3629  0.7259  0.9639  6 Se 2.91-2.97
Pm  0.3629  0.7258  0.5361  6 Se 2.91-2.97
Pm  0.6377  0.2753  0.4639  6 Se 2.91-2.97
Pm  0.1826  0.3651  0.1758  3 Se 2.92-2.93
Pm  0.8180  0.6361  0.8242  3 Se 2.92-2.93
Pm  0.8179  0.6358  0.6758  3 Se 2.92-2.93
Pm  0.1826  0.3652  0.3242  3 Se 2.92-2.93
Pm  0.9090  0.8180  0.1113  5 Se 2.94-3.07
Pm  0.0916  0.1832  0.8887  5 Se 2.94-3.07
Pm  0.0915  0.1830  0.6113  5 Se 2.94-3.07
Pm  0.9090  0.8181  0.3887  5 Se 2.94-3.07
Tl  0.8060  0.6119  0.2500  6 Pm 3.19-3.28
Tl  0.1946  0.3892  0.7501  6 Pm 3.19-3.28
Se  0.0003  0.0006  0.0000  6 Pm 2.97-3.07
Se  0.7256  0.4513  0.9289  6 Pm 2.92-2.97
Se  0.2749  0.5499  0.0711  6 Pm 2.92-2.97
Se  0.5485  0.0970  0.3590  6 Pm 2.90-2.94
Se  0.4521  0.9041  0.6410  6 Pm 2.90-2.94
Se  0.0003  0.0005  0.5000  6 Pm 2.97-3.07
Se  0.2750  0.5500  0.4288  6 Pm 2.92-2.97
Se  0.7256  0.4512  0.5712  6 Pm 2.92-2.97
Se  0.4522  0.9043  0.8590  6 Pm 2.90-2.94
Se  0.5484  0.0968  0.1410  6 Pm 2.90-2.94

- formation energy without anion corrections (kcal/mol of atoms) = -34.22
- M_tot (μB/atom) = 0.00
- N(E_F) (states/eV/f.u.) = 8.353

***

DFT (PBE-GGA) results for a geometry-optimized Pm3TlSe4 structure.

a b c (Å): 6.0296 6.0296 6.0296
angles (deg): 90.00 90.00 90.00
With the nearest neighbours (Å) after each atom.
Atoms (fractional coordinates):
Tl  0.0000  0.0000  0.0000  6 Se 3.01
Se  0.5000  0.0000  0.0000  2 Tl 3.01, 4 Pm 3.01
Se  0.0000  0.5000  0.0000  2 Tl 3.01, 4 Pm 3.01
Se  0.0000  0.0000  0.5000  2 Tl 3.01, 4 Pm 3.01
Se  0.5000  0.5000  0.5000  6 Pm 3.01
Pm  0.0000  0.5000  0.5000  6 Se 3.01
Pm  0.5000  0.0000  0.5000  6 Se 3.01
Pm  0.5000  0.5000  0.0000  6 Se 3.01

- formation energy without anion corrections (kcal/mol of atoms) = -35.46
- M_tot (μB/atom) = 0.00
- N(E_F) (states/eV/f.u.) = 3.149